Entry 1:
ZrNiSb2 | PBE | optimized geometry

Space-group type = F-43m
E_tot = -5.46 eV/atom
V = 84.3 Å³/cell

Geometry as CIF:
```
data_ZrNiSb2
_space_group_name_H-M_alt 'P 1'
_space_group_IT_number 1
_cell_length_a 4.922
_cell_length_b 4.922
_cell_length_c 4.922
_cell_angle_alpha 60.00
_cell_angle_beta 60.00
_cell_angle_gamma 60.00
loop_
_space_group_symop_operation_xyz
'x,y,z'
loop_
_atom_site_label
_atom_site_type_symbol
_atom_site_fract_x
_atom_site_fract_y
_atom_site_fract_z
_atom_site_occupancy
Sb1 Sb 0.250 0.250 0.250 1
Sb2 Sb 0.000 0.000 0.000 1
Ni1 Ni 0.750 0.750 0.750 1
Zr1 Zr 0.500 0.500 0.500 1
```

---

Entry 2:
Zr3Ni2Sb2 | PBE | optimized geometry

Space-group type = R3m
E_tot = -6.62 eV/atom
V = 145.1 Å³/cell

Geometry as CIF:
```
data_Zr3Ni2Sb2
_space_group_name_H-M_alt 'P 1'
_space_group_IT_number 1
_cell_length_a 8.178
_cell_length_b 8.178
_cell_length_c 8.178
_cell_angle_alpha 33.08
_cell_angle_beta 33.08
_cell_angle_gamma 33.08
loop_
_space_group_symop_operation_xyz
'x,y,z'
loop_
_atom_site_label
_atom_site_type_symbol
_atom_site_fract_x
_atom_site_fract_y
_atom_site_fract_z
_atom_site_occupancy
Zr1 Zr 0.874 0.874 0.874 1
Zr2 Zr 0.622 0.622 0.622 1
Zr3 Zr 0.378 0.378 0.378 1
Ni1 Ni 0.245 0.245 0.245 1
Ni2 Ni 0.754 0.754 0.754 1
Sb1 Sb 0.496 0.496 0.496 1
Sb2 Sb 0.005 0.005 0.005 1
```

---

Entry 3:
ZrNiSb | PBE | optimized geometry

Space-group type = P-62m
E_tot = -6.63 eV/atom
V = 165.1 Å³/cell

Geometry as CIF:
```
data_ZrNiSb
_space_group_name_H-M_alt 'P 1'
_space_group_IT_number 1
_cell_length_a 6.976
_cell_length_b 6.976
_cell_length_c 3.917
_cell_angle_alpha 90.00
_cell_angle_beta 90.00
_cell_angle_gamma 120.00
loop_
_space_group_symop_operation_xyz
'x,y,z'
loop_
_atom_site_label
_atom_site_type_symbol
_atom_site_fract_x
_atom_site_fract_y
_atom_site_fract_z
_atom_site_occupancy
Ni1 Ni 0.000 0.000 0.500 1
Ni2 Ni 0.667 0.333 0.000 1
Ni3 Ni 0.333 0.667 0.000 1
Zr1 Zr 0.622 0.000 0.500 1
Zr2 Zr 0.000 0.622 0.500 1
Zr3 Zr 0.378 0.378 0.500 1
Sb1 Sb 0.000 0.285 0.000 1
Sb2 Sb 0.715 0.715 0.000 1
Sb3 Sb 0.285 0.000 0.000 1
```

---

Entry 4:
Zr3Ni4Sb4 | PBE | optimized geometry

Space-group type = I-42m
E_tot = -6.51 eV/atom
V = 224.8 Å³/cell

Geometry as CIF:
```
data_Zr3Ni4Sb4
_space_group_name_H-M_alt 'P 1'
_space_group_IT_number 1
_cell_length_a 6.101
_cell_length_b 6.101
_cell_length_c 7.421
_cell_angle_alpha 65.73
_cell_angle_beta 65.73
_cell_angle_gamma 90.00
loop_
_space_group_symop_operation_xyz
'x,y,z'
loop_
_atom_site_label
_atom_site_type_symbol
_atom_site_fract_x
_atom_site_fract_y
_atom_site_fract_z
_atom_site_occupancy
Zr1 Zr 0.750 0.250 0.500 1
Zr2 Zr 0.250 0.750 0.500 1
Zr3 Zr 0.500 0.500 0.000 1
Ni1 Ni 0.869 0.869 0.743 1
Ni2 Ni 0.131 0.612 0.257 1
Ni3 Ni 0.612 0.131 0.257 1
Ni4 Ni 0.388 0.388 0.743 1
Sb1 Sb 0.762 0.762 0.475 1
Sb2 Sb 0.238 0.238 0.525 1
Sb3 Sb 0.500 0.000 0.000 1
Sb4 Sb 0.000 0.500 0.000 1
```

---

Entry 5:
Zr3NiSb7 | PBE | optimized geometry

Space-group type = Pnma
E_tot = -5.97 eV/atom
V = 1013.7 Å³/cell

Geometry as CIF:
```
data_Zr3NiSb7
_space_group_name_H-M_alt 'P 1'
_space_group_IT_number 1
_cell_length_a 17.686
_cell_length_b 3.956
_cell_length_c 14.490
_cell_angle_alpha 90.00
_cell_angle_beta 90.00
_cell_angle_gamma 90.00
loop_
_space_group_symop_operation_xyz
'x,y,z'
loop_
_atom_site_label
_atom_site_type_symbol
_atom_site_fract_x
_atom_site_fract_y
_atom_site_fract_z
_atom_site_occupancy
Sb1 Sb 0.748 0.250 0.021 1
Sb2 Sb 0.929 0.750 0.061 1
Sb3 Sb 0.728 0.250 0.354 1
Sb4 Sb 0.228 0.250 0.146 1
Sb5 Sb 0.752 0.750 0.521 1
Sb6 Sb 0.272 0.750 0.646 1
Sb7 Sb 0.571 0.250 0.561 1
Sb8 Sb 0.963 0.750 0.576 1
Sb9 Sb 0.252 0.750 0.979 1
Sb10 Sb 0.290 0.250 0.815 1
Sb11 Sb 0.537 0.250 0.076 1
Sb12 Sb 0.037 0.250 0.424 1
Sb13 Sb 0.248 0.250 0.479 1
Sb14 Sb 0.409 0.750 0.175 1
Sb15 Sb 0.463 0.750 0.924 1
Sb16 Sb 0.429 0.750 0.439 1
Sb17 Sb 0.210 0.750 0.315 1
Sb18 Sb 0.591 0.250 0.825 1
Sb19 Sb 0.091 0.250 0.675 1
Sb20 Sb 0.909 0.750 0.325 1
Sb21 Sb 0.772 0.750 0.854 1
Sb22 Sb 0.479 0.750 0.702 1
Sb23 Sb 0.979 0.750 0.798 1
Sb24 Sb 0.521 0.250 0.298 1
Sb25 Sb 0.071 0.250 0.939 1
Sb26 Sb 0.710 0.750 0.185 1
Sb27 Sb 0.790 0.250 0.685 1
Sb28 Sb 0.021 0.250 0.202 1
Ni1 Ni 0.937 0.250 0.689 1
Ni2 Ni 0.063 0.750 0.311 1
Ni3 Ni 0.437 0.250 0.811 1
Ni4 Ni 0.563 0.750 0.189 1
Zr1 Zr 0.654 0.750 0.691 1
Zr2 Zr 0.370 0.250 0.029 1
Zr3 Zr 0.608 0.750 0.410 1
Zr4 Zr 0.846 0.250 0.191 1
Zr5 Zr 0.130 0.750 0.529 1
Zr6 Zr 0.346 0.250 0.309 1
Zr7 Zr 0.630 0.750 0.971 1
Zr8 Zr 0.108 0.750 0.090 1
Zr9 Zr 0.892 0.250 0.910 1
Zr10 Zr 0.870 0.250 0.471 1
Zr11 Zr 0.392 0.250 0.590 1
Zr12 Zr 0.154 0.750 0.809 1
```

---

Entry 6:
Zr6NiSb2 | PBE | optimized geometry

Space-group type = P-62m
E_tot = -7.82 eV/atom
V = 193.1 Å³/cell

Geometry as CIF:
```
data_Zr6NiSb2
_space_group_name_H-M_alt 'P 1'
_space_group_IT_number 1
_cell_length_a 3.666
_cell_length_b 7.800
_cell_length_c 7.800
_cell_angle_alpha 120.00
_cell_angle_beta 90.00
_cell_angle_gamma 90.00
loop_
_space_group_symop_operation_xyz
'x,y,z'
loop_
_atom_site_label
_atom_site_type_symbol
_atom_site_fract_x
_atom_site_fract_y
_atom_site_fract_z
_atom_site_occupancy
Zr1 Zr 0.000 0.242 0.000 1
Zr2 Zr 0.500 0.402 0.402 1
Zr3 Zr 0.500 0.000 0.598 1
Zr4 Zr 0.000 0.758 0.758 1
Zr5 Zr 0.000 0.000 0.242 1
Zr6 Zr 0.500 0.598 0.000 1
Sb1 Sb 0.000 0.667 0.333 1
Sb2 Sb 0.000 0.333 0.667 1
Ni1 Ni 0.500 0.000 0.000 1
```

---

Entry 7:
Zr3Ni4Sb4 | PBE | optimized geometry

Space-group type = Pm
E_tot = -6.41 eV/atom
V = 210.9 Å³/cell

Geometry as CIF:
```
data_Zr3Ni4Sb4
_space_group_name_H-M_alt 'P 1'
_space_group_IT_number 1
_cell_length_a 6.731
_cell_length_b 4.180
_cell_length_c 7.505
_cell_angle_alpha 90.00
_cell_angle_beta 92.62
_cell_angle_gamma 90.00
loop_
_space_group_symop_operation_xyz
'x,y,z'
loop_
_atom_site_label
_atom_site_type_symbol
_atom_site_fract_x
_atom_site_fract_y
_atom_site_fract_z
_atom_site_occupancy
Sb1 Sb 0.766 0.750 0.903 1
Sb2 Sb 0.240 0.250 0.066 1
Sb3 Sb 0.189 0.750 0.615 1
Sb4 Sb 0.782 0.250 0.398 1
Zr1 Zr 0.003 0.750 0.225 1
Zr2 Zr 0.509 0.250 0.702 1
Zr3 Zr 0.482 0.750 0.296 1
Ni1 Ni 0.795 0.750 0.577 1
Ni2 Ni 0.224 0.250 0.417 1
Ni3 Ni 0.627 0.250 0.069 1
Ni4 Ni 0.382 0.750 0.930 1
```

---

Entry 8:
ZrNiSb | PBE | optimized geometry

Space-group type = P-62m
E_tot = -6.61 eV/atom
V = 164.6 Å³/cell

Geometry as CIF:
```
data_ZrNiSb
_space_group_name_H-M_alt 'P 1'
_space_group_IT_number 1
_cell_length_a 6.734
_cell_length_b 6.734
_cell_length_c 4.191
_cell_angle_alpha 90.00
_cell_angle_beta 90.00
_cell_angle_gamma 120.00
loop_
_space_group_symop_operation_xyz
'x,y,z'
loop_
_atom_site_label
_atom_site_type_symbol
_atom_site_fract_x
_atom_site_fract_y
_atom_site_fract_z
_atom_site_occupancy
Sb1 Sb 0.667 0.333 0.000 1
Sb2 Sb 0.333 0.667 0.000 1
Sb3 Sb 0.000 0.000 0.500 1
Ni1 Ni 0.000 0.245 0.000 1
Ni2 Ni 0.755 0.755 0.000 1
Ni3 Ni 0.245 0.000 0.000 1
Zr1 Zr 0.427 0.427 0.500 1
Zr2 Zr 0.573 0.000 0.500 1
Zr3 Zr 0.000 0.573 0.500 1
```